# 1
Material: SrRhSeN2
Method: DFT, GGA-PBE
State: relaxed

Output
The raw formation energy comes out at 1.913 eV per atom. The value obtained for the energy above the most stable polymorph in this dataset is 1642.4 meV/atom. The density of states at the Fermi level comes out at 1.8526 states/eV/atom.

Cell lengths 4.6802, 4.6802, 6.1907 Å; angles 90.00, 90.00, 90.00 degrees
Fractional positions:
Sr 0.0000 0.0000 0.0000
Rh 0.5000 0.5000 0.5000
Se 0.0000 0.0000 0.5000
N 0.0000 0.5000 0.0000
N 0.5000 0.0000 0.0000

=====

# 2
Material: CsKBiO3
Method: DFT, GGA-PBE
State: relaxed

Output
The raw formation energy comes out at -1.272 eV per atom. The density of states at the Fermi level comes out at 0.2888 states/eV/atom.

Cell lengths 7.3248, 7.3248, 6.4109 Å; angles 93.33, 93.33, 126.02 degrees
Fractional positions:
Cs 0.2496 0.7504 0.7500
Cs 0.7504 0.2496 0.2500
K 0.0803 0.9197 0.2500
K 0.9197 0.0803 0.7500
Bi 0.4436 0.5564 0.2500
Bi 0.5564 0.4436 0.7500
O 0.2682 0.3211 0.5038
O 0.2825 0.7175 0.2500
O 0.3211 0.2682 0.0038
O 0.6789 0.7318 0.9962
O 0.7175 0.2825 0.7500
O 0.7318 0.6789 0.4962

=====

# 3
Material: In12Ga5Sb3
Method: DFT, GGA-PBE
State: relaxed

Output
The raw formation energy comes out at 0.130 eV per atom. The density of states at the Fermi level comes out at 0.4737 states/eV/atom.

Cell lengths 14.6846, 14.6846, 14.6846 Å; angles 109.47, 109.47, 109.47 degrees
Fractional positions:
In 0.0457 0.2176 0.1240
In 0.0457 0.3281 0.9217
In 0.0783 0.6240 0.4064
In 0.0783 0.9543 0.6719
In 0.0936 0.7176 0.6719
In 0.0936 0.8760 0.4217
In 0.1240 0.0457 0.2176
In 0.1240 0.5783 0.9064
In 0.1719 0.2176 0.5936
In 0.1719 0.4543 0.5783
In 0.2176 0.1240 0.0457
In 0.2176 0.5936 0.1719
In 0.2824 0.3281 0.9064
In 0.2824 0.4543 0.3760
In 0.3281 0.9064 0.2824
In 0.3281 0.9217 0.0457
In 0.3760 0.2824 0.4543
In 0.3760 0.5936 0.9217
In 0.4064 0.0783 0.6240
In 0.4064 0.8281 0.7824
In 0.4217 0.0936 0.8760
In 0.4217 0.8281 0.5457
In 0.4543 0.3760 0.2824
In 0.4543 0.5783 0.1719
In 0.5457 0.4217 0.8281
In 0.5457 0.6240 0.7176
In 0.5783 0.1719 0.4543
In 0.5783 0.9064 0.1240
In 0.5936 0.1719 0.2176
In 0.5936 0.9217 0.3760
In 0.6240 0.4064 0.0783
In 0.6240 0.7176 0.5457
In 0.6719 0.0783 0.9543
In 0.6719 0.0936 0.7176
In 0.7176 0.5457 0.6240
In 0.7176 0.6719 0.0936
In 0.7824 0.4064 0.8281
In 0.7824 0.8760 0.9543
In 0.8281 0.5457 0.4217
In 0.8281 0.7824 0.4064
In 0.8760 0.4217 0.0936
In 0.8760 0.9543 0.7824
In 0.9064 0.1240 0.5783
In 0.9064 0.2824 0.3281
In 0.9217 0.0457 0.3281
In 0.9217 0.3760 0.5936
In 0.9543 0.6719 0.0783
In 0.9543 0.7824 0.8760
Ga 0.0000 0.0000 0.0000
Ga 0.0000 0.0000 0.5000
Ga 0.0000 0.5000 0.0000
Ga 0.0000 0.5000 0.5000
Ga 0.1250 0.7500 0.8750
Ga 0.1250 0.8750 0.2500
Ga 0.2500 0.1250 0.8750
Ga 0.2500 0.6250 0.3750
Ga 0.3750 0.2500 0.6250
Ga 0.3750 0.6250 0.7500
Ga 0.5000 0.0000 0.0000
Ga 0.5000 0.0000 0.5000
Ga 0.5000 0.5000 0.0000
Ga 0.5000 0.5000 0.5000
Ga 0.6250 0.3750 0.2500
Ga 0.6250 0.7500 0.3750
Ga 0.7500 0.3750 0.6250
Ga 0.7500 0.8750 0.1250
Ga 0.8750 0.1250 0.7500
Ga 0.8750 0.2500 0.1250
Sb 0.1250 0.2500 0.3750
Sb 0.1250 0.3750 0.7500
Sb 0.2500 0.3750 0.1250
Sb 0.2500 0.8750 0.6250
Sb 0.3750 0.1250 0.2500
Sb 0.3750 0.7500 0.1250
Sb 0.6250 0.2500 0.8750
Sb 0.6250 0.8750 0.7500
Sb 0.7500 0.1250 0.3750
Sb 0.7500 0.6250 0.8750
Sb 0.8750 0.6250 0.2500
Sb 0.8750 0.7500 0.6250

=====

# 4
Material: Mg2RuSe
Method: DFT, GGA-PBE
State: relaxed

Output
The raw formation energy comes out at -0.071 eV per atom. The density of states at the Fermi level comes out at 0.5997 states/eV/atom.

Cell lengths 8.7342, 8.7342, 8.7342 Å; angles 21.86, 21.86, 21.86 degrees
Fractional positions:
Mg 0.0000 0.0000 0.0000
Mg 0.2298 0.2298 0.2298
Ru 0.7471 0.7471 0.7471
Se 0.4710 0.4710 0.4710

=====

# 5
Material: SrCe3Pm2N6
Method: DFT, GGA-PBE
State: relaxed

Output
The raw formation energy comes out at -1.375 eV per atom. The density of states at the Fermi level comes out at 0.6325 states/eV/atom.

Cell lengths 8.0660, 8.0660, 7.2278 Å; angles 102.70, 102.70, 25.86 degrees
Fractional positions:
Sr 0.0000 0.0000 0.0000
Ce 0.0000 0.0000 0.5000
Ce 0.3327 0.3327 0.1668
Ce 0.6673 0.6673 0.8332
Pm 0.3316 0.3316 0.6642
Pm 0.6684 0.6684 0.3358
N 0.1659 0.1659 0.5894
N 0.1762 0.1762 0.0803
N 0.4956 0.4956 0.2766
N 0.5044 0.5044 0.7234
N 0.8238 0.8238 0.9197
N 0.8341 0.8341 0.4106

=====

# 6
Material: KZrPb2
Method: DFT, GGA-PBE
State: relaxed

Output
The value obtained for the energy above the most stable polymorph in this dataset is 204.0 meV/atom. The formation energy is 0.21 eV per formula unit. The density of states at the Fermi level comes out at 0.8526 states/eV/atom.

Cell lengths 9.0776, 9.0776, 9.0776 Å; angles 158.87, 148.56, 38.19 degrees
Fractional positions:
K 0.0000 0.0000 0.0000
Zr 0.7818 0.2818 0.5000
Pb 0.3189 0.8189 0.5000
Pb 0.6321 0.6321 0.0000

=====

# 7
Material: ErLuCu
Method: DFT, GGA-PBE
State: relaxed

Output
The value obtained for the energy above the most stable polymorph in this dataset is 0.0 meV/atom. The formation energy is -0.46 eV per formula unit. The density of states at the Fermi level comes out at 1.2703 states/eV/atom.

Cell lengths 6.5661, 6.5661, 6.5661 Å; angles 149.90, 149.90, 43.09 degrees
Fractional positions:
Er 0.0000 0.0000 0.0000
Lu 0.2775 0.2775 0.0000
Cu 0.6435 0.6435 0.0000

=====

# 8
Material: SrTaMn2
Method: DFT, GGA-PBE
State: relaxed

Output
The value obtained for the energy above the most stable polymorph in this dataset is 615.1 meV/atom. The formation energy is 3.95 eV per formula unit. The density of states at the Fermi level comes out at 1.1107 states/eV/atom.

Cell lengths 5.4420, 5.4420, 5.4420 Å; angles 134.59, 134.59, 66.16 degrees
Fractional positions:
Sr 0.0000 0.0000 0.0000
Ta 0.2500 0.7500 0.5000
Mn 0.5000 0.5000 0.0000
Mn 0.7500 0.2500 0.5000

=====

# 9
Material: TlTeS2
Method: DFT, GGA-PBE
State: relaxed

Output
The raw formation energy comes out at -0.083 eV per atom. The value obtained for the energy above the most stable polymorph in this dataset is 2.3 meV/atom. The density of states at the Fermi level comes out at 0.3109 states/eV/atom.

Cell lengths 6.5921, 13.0496, 6.2443 Å; angles 90.00, 90.00, 90.00 degrees
Fractional positions:
Tl 0.0287 0.1322 0.0000
Tl 0.4713 0.6322 0.5000
Tl 0.5287 0.3678 0.0000
Tl 0.9713 0.8678 0.5000
Te 0.0759 0.3767 0.4425
Te 0.4241 0.8767 0.9425
Te 0.5759 0.1233 0.4425
Te 0.9241 0.6233 0.9425
S 0.0354 0.3828 0.0682
S 0.0731 0.8924 0.9984
S 0.4269 0.3924 0.4984
S 0.4646 0.8828 0.5682
S 0.5354 0.1172 0.0682
S 0.5731 0.6076 0.9984
S 0.9269 0.1076 0.4984
S 0.9646 0.6172 0.5682

=====

# 10
Material: YErCd
Method: DFT, GGA-PBE
State: relaxed

Output
The value obtained for the energy above the most stable polymorph in this dataset is 281.8 meV/atom. The formation energy is 0.24 eV per formula unit. The density of states at the Fermi level comes out at 1.2120 states/eV/atom.

Cell lengths 5.1270, 5.1270, 5.1270 Å; angles 119.88, 119.88, 90.20 degrees
Fractional positions:
Y 0.0000 0.0000 0.0000
Er 0.5000 0.5000 0.0000
Cd 0.7500 0.2500 0.5000

=====

# 11
Material: RbIn4Ge4
Method: DFT, GGA-PBE
State: relaxed

Output
The formation energy is 0.53 eV per formula unit. The density of states at the Fermi level comes out at 0.4539 states/eV/atom.

Cell lengths 7.1883, 7.1883, 9.7191 Å; angles 90.00, 90.00, 90.00 degrees
Fractional positions:
Rb 0.2500 0.7500 0.2500
Rb 0.7500 0.2500 0.7500
In 0.0093 0.2500 0.1077
In 0.2500 0.0093 0.6077
In 0.2500 0.4907 0.6077
In 0.4907 0.2500 0.1077
In 0.5093 0.7500 0.8923
In 0.7500 0.5093 0.3923
In 0.7500 0.9907 0.3923
In 0.9907 0.7500 0.8923
Ge 0.0663 0.2500 0.3999
Ge 0.2500 0.0663 0.8999
Ge 0.2500 0.4337 0.8999
Ge 0.4337 0.2500 0.3999
Ge 0.5663 0.7500 0.6001
Ge 0.7500 0.5663 0.1001
Ge 0.7500 0.9337 0.1001
Ge 0.9337 0.7500 0.6001

=====

# 12
Material: Ta2NiPb
Method: DFT, GGA-PBE
State: relaxed

Output
The formation energy is 0.95 eV per formula unit. The density of states at the Fermi level comes out at 0.9395 states/eV/atom.

Cell lengths 3.0947, 3.4463, 7.0638 Å; angles 90.00, 90.00, 90.00 degrees
Fractional positions:
Ta 0.0000 0.0000 0.0000
Ta 0.5000 0.5000 0.2381
Ni 0.0000 0.0000 0.4137
Pb 0.5000 0.5000 0.6868